Entry 1:
The following is a DFT calculation (PBE-GGA) of Sm2BePtO6 after structural relaxation.

E in eV/atom: -7.210
Raw formation energy in meV per atom: -2315
Crystal system: monoclinic

Unit cell a=5.3669 b=5.6129 c=9.1849 alpha=90.00 beta=125.31 gamma=90.00
Space group P2_1/c (No. 14)
Inequivalent atoms, fractional coordinates:
1 Sm 0.2365 0.0654 0.2505 [4 per cell]
2 Be 0.5000 0.0000 0.0000 [2 per cell]
3 Pt 0.0000 0.0000 0.5000 [2 per cell]
4 O 0.1609 0.1957 0.9547 [4 per cell]
5 O 0.2589 0.7111 0.9512 [4 per cell]
6 O 0.3555 0.0224 0.7656 [4 per cell]

---

Entry 2:
The following is a DFT calculation (PBE-GGA) of ZrAs2Pt after structural relaxation.

E in eV/atom: -6.246
Energy of formation in kcal/mol of atoms: -6.3
Crystal system: tetragonal

Unit cell a=4.0802 b=4.0802 c=8.8090 alpha=90.00 beta=90.00 gamma=90.00
Space group I4/mmm (No. 139)
Inequivalent atoms, fractional coordinates:
1 Zr 0.0000 0.0000 0.0000 [2 per cell]
2 As 0.0000 0.5000 0.2500 [4 per cell]
3 Pt 0.0000 0.0000 0.5000 [2 per cell]

---

Entry 3:
The following is a DFT calculation (PBE-GGA) of Zr2MoAs after structural relaxation.

E in eV/atom: -8.450
Energy of formation in kcal/mol of atoms: -7.0
Crystal system: monoclinic

Unit cell a=9.8653 b=3.3623 c=4.7414 alpha=90.00 beta=105.50 gamma=90.00
Space group Cm (No. 8)
Inequivalent atoms, fractional coordinates:
1 Zr 0.0000 0.0000 0.0000 [2 per cell]
2 Zr 0.2318 0.0000 0.7080 [2 per cell]
3 Mo 0.4671 0.0000 0.4464 [2 per cell]
4 As 0.2539 0.5000 0.2243 [2 per cell]

---

Entry 4:
The following is a DFT calculation (PBE-GGA) of TbPm6Dy2Mg after structural relaxation.

E in eV/atom: -4.276
Energy of formation in kcal/mol of atoms: 2.7
Crystal system: monoclinic

Unit cell a=9.2662 b=15.3611 c=9.2499 alpha=90.00 beta=94.15 gamma=90.00
Space group C2/c (No. 15)
Inequivalent atoms, fractional coordinates:
1 Tb 0.0000 0.0258 0.2500 [4 per cell]
2 Pm 0.0427 0.1761 0.9470 [8 per cell]
3 Pm 0.1075 0.3871 0.1041 [8 per cell]
4 Pm 0.2201 0.2140 0.2982 [8 per cell]
5 Dy 0.2366 0.4465 0.4496 [8 per cell]
6 Mg 0.0000 0.4213 0.7500 [4 per cell]

---

no.,M_tot (Bohr magnetons per cell)
1,0.0
2,0.0
3,0.0
4,0.0